Computed, not measured: CsKRe2Si after structural relaxation at the GGA-PBE level of DFT.

It has space group P4/mmm (No. 123), with a = 5.1881 Å, b = 5.1881 Å, c = 5.7241 Å, α = 90.00°, β = 90.00° and γ = 90.00°. The asymmetric unit holds Cs at (0.0000, 0.0000, 0.0000), K at (0.0000, 0.0000, 0.5000), Re at (0.0000, 0.5000, 0.0000) and Si at (0.5000, 0.5000, 0.5000).

The energy relative to the elements, uncorrected comes out at 3300 meV per atom. The value obtained for the volume is 154.1 Å³ per cell.